Material: ZnAgHg2
Method: DFT, GGA-PBE
State: relaxed

a b c (Å): 4.2822 4.2822 10.2223
angles (deg): 77.91 77.91 90.00
Closest atoms and distances in Å follow each position.
Element x y z (fractional)
Zn 0.5000 0.5000 0.0000  4 Hg 2.87, 4 Ag 3.03
Zn 0.2500 0.7500 0.5000  4 Hg 2.87, 4 Ag 3.03
Ag 0.0000 0.0000 0.0000  4 Hg 2.88, 4 Zn 3.03
Ag 0.7500 0.2500 0.5000  4 Hg 2.88, 4 Zn 3.03
Hg 0.3750 0.3782 0.7500  2 Zn 2.87, 2 Ag 2.88, 4 Hg 3.01-3.05
Hg 0.6218 0.1250 0.2500  2 Zn 2.87, 2 Ag 2.88, 4 Hg 3.01-3.05
Hg 0.1282 0.6250 0.2500  2 Zn 2.87, 2 Ag 2.88, 4 Hg 3.01-3.05
Hg 0.8750 0.8718 0.7500  2 Zn 2.87, 2 Ag 2.88, 4 Hg 3.01-3.05

Output
Energy of formation, eV/atom: 0.1522
Crystal system: tetragonal
E, eV/atom: -1.0300
Total magnetization, μB per cell: 0.00

***

Material: KRb2CdCl5
Method: DFT, GGA-PBE
State: relaxed

a b c (Å): 5.1721 7.5198 9.0658
angles (deg): 114.50 106.57 90.00
Closest atoms and distances in Å follow each position.
Element x y z (fractional)
Rb 0.2062 0.2062 0.4124  7 Cl 3.23-3.46
Rb 0.7938 0.7938 0.5876  7 Cl 3.23-3.46
Cl 0.3780 0.6285 0.7559  1 Cd 2.68
Cl 0.0000 0.0000 0.0000  2 Cd 2.59
Cl 0.6220 0.3715 0.2441  1 Cd 2.68
Cl 0.6220 0.8726 0.2441  1 Cd 2.68
Cl 0.3780 0.1274 0.7559  1 Cd 2.68
K 0.0000 0.5000 0.0000  10 Cl 3.73-3.76
Cd 0.5000 0.0000 0.0000  6 Cl 2.59-2.68

Output
Crystal system: orthorhombic
E, eV/atom: -3.1068
Total magnetization, μB per cell: 0.00
Formation energy from raw total energies, meV per atom: -1642

***

Question: Which formula does entry 2 have?
Answer: KRb2CdCl5

***

Question: Which formula does entry 1 have?
Answer: ZnAgHg2

***

Question: total magnetization of number 1 (ZnAgHg2)?
Answer: 0.00 μB per cell